1.
A geometry-optimized Hf3HS structure. Source: Alexandria, functional GGA-PBE.

Unit cell a=4.3194 b=4.3194 c=4.3194 alpha=90.00 beta=90.00 gamma=90.00
With the nearest neighbours (Å) after each atom.
Space group Pm-3m (No. 221)
Symmetry-distinct sites (fractional):
Hf 0.0000 0.0000 0.5000 x3  2 H 2.16
H 0.0000 0.0000 0.0000 x1  6 Hf 2.16
S 0.5000 0.5000 0.5000 x1  12 Hf 3.05

Output
offset from the most stable computed form = 0.00 kcal/mol of atoms
Fermi-level density of states = 1.011 states/eV/atom
calculated density = 11715 kg/m³
total magnetic moment = 0.00 μB/atom

=====

2.
A geometry-optimized HfH2S structure. Source: Alexandria, functional GGA-PBE.

Unit cell a=3.4277 b=4.7944 c=5.2033 alpha=90.00 beta=90.00 gamma=90.00
With the nearest neighbours (Å) after each atom.
Space group Pmmn (No. 59, origin choice 2)
Symmetry-distinct sites (fractional):
Hf 0.2500 0.2500 0.2072 x2  6 H 2.09
H 0.2500 0.5281 0.8975 x4  3 H 2.04-2.13, 3 Hf 2.09
S 0.2500 0.7500 0.4198 x2  4 Hf 2.59-2.64, 6 H 2.70-2.73

Output
offset from the most stable computed form = 0.00 kcal/mol of atoms
Fermi-level density of states = 0.035 states/eV/atom
calculated density = 8256 kg/m³
total magnetic moment = 0.00 μB/atom

=====

3.
A geometry-optimized HfH2S structure. Source: Alexandria, functional GGA-PBE.

Unit cell a=3.3236 b=8.9648 c=6.2424 alpha=90.00 beta=90.00 gamma=90.00
With the nearest neighbours (Å) after each atom.
Space group Cmcm (No. 63)
Symmetry-distinct sites (fractional):
Hf 0.0000 0.2448 0.2500 x4  6 H 2.08
H 0.0000 0.1874 0.5737 x8  3 Hf 2.08, 3 H 2.20-2.21
S 0.0000 0.4620 0.7500 x4  3 Hf 2.49-2.63, 2 H 2.70

Output
offset from the most stable computed form = 1.37 kcal/mol of atoms
Fermi-level density of states = 0.037 states/eV/atom
calculated density = 7591 kg/m³
total magnetic moment = 0.00 μB/atom

=====

4.
A geometry-optimized HfH2S structure. Source: Alexandria, functional GGA-PBE.

Unit cell a=5.4593 b=5.4593 c=5.4593 alpha=90.00 beta=90.00 gamma=90.00
With the nearest neighbours (Å) after each atom.
Space group Fm-3m (No. 225)
Symmetry-distinct sites (fractional):
Hf 0.0000 0.0000 0.0000 x4  8 H 2.36
H 0.2500 0.2500 0.2500 x8  4 S 2.36, 4 Hf 2.36
S 0.0000 0.0000 0.5000 x4  8 H 2.36

Output
offset from the most stable computed form = 19.00 kcal/mol of atoms
Fermi-level density of states = 0.279 states/eV/atom
calculated density = 8677 kg/m³
total magnetic moment = 0.00 μB/atom